4
Lattice="-1.292 -4.211 1.342 -0.849 -4.196 -1.695 3.813 -2.424 0.544" Properties=species:S:1:pos:R:3 comment="Re2SiAs (PBE, optimized geometry)" total_energy_ev_per_atom=-8.74 spacegroup="Cm, No. 8" raw_formation_energy_ev_per_atom=0.00 de_polymorph_ev_per_atom=0.000 magmom_total_mub_per_atom=0.000 pbc="T T T"
As 0.288 -2.648 0.029
Re -1.917 -8.548 -0.321
Re 0.965 -7.972 0.101
Si 1.031 -5.485 0.123


4
Lattice="3.019 0.000 0.000 0.000 2.942 -0.010 0.000 0.025 7.219" Properties=species:S:1:pos:R:3 comment="ReSi2As (PBE, optimized geometry)" total_energy_ev_per_atom=-6.88 spacegroup="Pmmm, No. 47" raw_formation_energy_ev_per_atom=0.11 magmom_total_mub_per_atom=0.000 pbc="T T T"
As 1.509 0.742 1.802
Re 1.509 2.225 5.407
Si 0.000 0.759 6.843
Si 0.000 0.750 3.981


4
Lattice="-2.144 -1.338 3.651 -0.446 -3.506 2.687 3.292 1.016 3.514" Properties=species:S:1:pos:R:3 comment="Re2SiAs (PBE, optimized geometry)" total_energy_ev_per_atom=-8.55 spacegroup="C2/m, No. 12" raw_formation_energy_ev_per_atom=0.19 de_polymorph_ev_per_atom=0.188 magmom_total_mub_per_atom=0.000 pbc="T T T"
As 0.175 -0.957 2.463
Re 3.200 0.893 3.631
Re 0.443 -1.790 4.810
Si 0.526 -2.871 7.389